(1)
DFT (meta-GGA SCAN) results for a PBEsol-optimized structure of CaMn2Sb2.

## Properties
* formation energy (no corrections): -2.10 eV per formula unit

Structure (POSCAR):
```
CaMn2Sb2
1.0
4.1866 0.0000 0.0000
-2.0933 3.6257 0.0000
0.0000 0.0000 7.5664
Sb Ca Mn
2 1 2
Direct
0.6667 0.3333 0.7366
0.3333 0.6667 0.2634
0.0000 0.0000 0.0000
0.3333 0.6667 0.6062
0.6667 0.3333 0.3938
```



(2)
DFT (meta-GGA SCAN) results for a PBEsol-optimized structure of TeMo2Ru.

## Properties
* formation energy (no corrections): 2.09 eV per formula unit

Structure (POSCAR):
```
TeMo2Ru
1.0
2.9543 0.0000 0.0000
1.4771 2.5585 0.0000
1.4771 0.8528 8.6304
Mo Ru Te
2 1 1
Direct
0.2469 0.2469 0.2594
0.7531 0.7531 0.7406
0.5000 0.5000 0.5000
0.0000 0.0000 0.0000
```



(3)
DFT (meta-GGA SCAN) results for a PBEsol-optimized structure of NdBi2IO4.

## Properties
* formation energy (no corrections): -15.55 eV per formula unit

Structure (POSCAR):
```
NdBi2IO4
1.0
-0.0597 -3.9094 0.6202
3.0102 0.3579 2.5460
-6.1914 1.2285 7.1475
I Nd Bi O
1 1 2 4
Direct
0.0000 0.0000 0.5000
0.0000 0.0000 0.0000
0.5000 0.5000 0.2642
0.5000 0.5000 0.7358
0.0000 0.5000 0.1513
0.5000 0.0000 0.8487
0.0000 0.5000 0.8487
0.5000 0.0000 0.1513
```



(4)
DFT (meta-GGA SCAN) results for a PBEsol-optimized structure of TiB2.

## Properties
* energy of formation from the pure elements: -1.110 eV per atom

Structure (POSCAR):
```
TiB2
1.0
3.0214 0.0000 0.0000
-1.5107 2.6166 0.0000
0.0000 0.0000 3.1847
B Ti
2 1
Direct
0.3333 0.6667 0.5000
0.6667 0.3333 0.5000
0.0000 0.0000 0.0000
```



(5)
DFT (meta-GGA SCAN) results for a PBEsol-optimized structure of KRuPb2Cl.

## Properties
* formation energy (no corrections): -1.09 eV per formula unit

Structure (POSCAR):
```
KRuPb2Cl
1.0
5.0927 0.0000 0.0000
0.0000 5.0927 0.0000
0.0000 0.0000 6.1247
Pb Ru K Cl
2 1 1 1
Direct
0.0000 0.5000 0.0000
0.5000 0.0000 0.0000
0.0000 0.0000 0.0000
0.0000 0.0000 0.5000
0.5000 0.5000 0.5000
```



(6)
DFT (meta-GGA SCAN) results for a PBEsol-optimized structure of Na5NbO5.

## Properties
* formation energy (no corrections): -23.22 eV per formula unit

Structure (POSCAR):
```
Na5NbO5
1.0
-5.4765 0.2979 -2.4310
0.2747 -1.0486 5.9005
2.1561 9.8113 0.0974
Na Nb O
10 2 10
Direct
0.9930 0.6774 0.9220
0.3226 0.0070 0.5780
0.5559 0.7853 0.0504
0.2147 0.4441 0.4496
0.4441 0.2147 0.9496
0.7853 0.5559 0.5504
0.3324 0.6676 0.7500
0.6676 0.3324 0.2500
0.6774 0.9930 0.4220
0.0070 0.3226 0.0780
0.9083 0.0917 0.7500
0.0917 0.9083 0.2500
0.9048 0.0952 0.2500
0.0952 0.9048 0.7500
0.0369 0.6965 0.3823
0.3035 0.9631 0.1177
0.1901 0.4057 0.8962
0.5943 0.8099 0.6038
0.8099 0.5943 0.1038
0.4057 0.1901 0.3962
0.9631 0.3035 0.6177
0.6965 0.0369 0.8823
```



(7)
DFT (meta-GGA SCAN) results for a PBEsol-optimized structure of Tl2CoW.

## Properties
* energy of formation from the pure elements: 0.876 eV per atom

Structure (POSCAR):
```
Tl2CoW
1.0
-2.5044 -1.5686 -0.6438
0.1831 -2.5355 -1.6385
0.2676 -6.0553 6.6090
Co Tl W
1 2 1
Direct
0.0000 0.0000 0.0000
0.2567 0.2567 0.2299
0.7433 0.7433 0.7701
0.5000 0.5000 0.5000
```



(8)
DFT (meta-GGA SCAN) results for a PBEsol-optimized structure of Li7NiOF7.

## Properties
* formation energy (no corrections): -45.69 eV per formula unit

Structure (POSCAR):
```
Li7NiOF7
1.0
-1.4610 -1.7280 1.7573
3.9453 -4.9656 0.7327
2.6218 2.2781 6.7554
Li Ni O F
7 1 1 7
Direct
0.8785 0.8764 0.3666
0.7566 0.7461 0.7406
0.6165 0.6284 0.1386
0.3746 0.3800 0.8708
0.5006 0.5004 0.4984
0.1294 0.1252 0.6161
0.2503 0.2407 0.2586
0.9935 0.9935 0.0196
0.4386 0.9384 0.1845
0.1927 0.6840 0.9306
0.3123 0.8105 0.5650
0.9377 0.4367 0.6880
0.0657 0.5530 0.3157
0.5647 0.0651 0.8054
0.6834 0.1902 0.4430
0.8102 0.3210 0.0586
```



(9)
DFT (meta-GGA SCAN) results for a PBEsol-optimized structure of ScAl2Co.

## Properties
* energy of formation from the pure elements: -0.282 eV per atom

Structure (POSCAR):
```
ScAl2Co
1.0
3.8049 0.0000 0.0000
0.0000 3.8049 0.0000
0.0000 0.0000 4.1367
Sc Co Al
1 1 2
Direct
0.0000 0.0000 0.5000
0.5000 0.5000 0.5000
0.0000 0.5000 0.0000
0.5000 0.0000 0.0000
```



(10)
DFT (meta-GGA SCAN) results for a PBEsol-optimized structure of RbGeAu2.

## Properties
* energy of formation from the pure elements: -0.302 eV per atom

Structure (POSCAR):
```
RbGeAu2
1.0
-0.2699 -3.1865 4.4449
0.9026 -4.4152 -3.1104
7.7548 4.6678 0.4443
Ge Au Rb
2 4 2
Direct
0.5000 0.5000 0.0000
0.7500 0.2500 0.5000
0.6250 0.3750 0.7500
0.1250 0.3750 0.7500
0.6250 0.8750 0.2500
0.6250 0.3750 0.2500
0.0000 0.0000 0.0000
0.2500 0.7500 0.5000
```



(11)
DFT (meta-GGA SCAN) results for a PBEsol-optimized structure of GdAsO4.

## Properties
* offset from the most stable computed form: 41 meV/atom
* formation energy (no corrections): -15.14 eV per formula unit

Structure (POSCAR):
```
GdAsO4
1.0
4.7229 0.0000 0.0000
0.0000 5.4945 0.0000
0.0000 0.0000 5.4945
Gd As O
2 2 8
Direct
0.5000 0.5000 0.5000
0.5000 0.0000 0.0000
0.0000 0.0000 0.5000
0.0000 0.5000 0.0000
0.7627 0.1694 0.3306
0.2373 0.8306 0.3306
0.7627 0.8306 0.6694
0.7627 0.3306 0.8306
0.2373 0.1694 0.6694
0.2373 0.6694 0.8306
0.7627 0.6694 0.1694
0.2373 0.3306 0.1694
```



(12)
DFT (meta-GGA SCAN) results for a PBEsol-optimized structure of FeOsPb2O.

## Properties
* formation energy (no corrections): 1.85 eV per formula unit

Structure (POSCAR):
```
FeOsPb2O
1.0
3.5417 0.0000 0.0000
0.0000 4.9492 0.0000
0.0000 0.0000 4.9492
Pb Os Fe O
2 1 1 1
Direct
0.0000 0.0000 0.5000
0.0000 0.5000 0.0000
0.5000 0.5000 0.5000
0.5000 0.0000 0.0000
0.0000 0.0000 0.0000
```